Compound: Nd2P4Ir3Pt
Source: Alexandria
Functional: PBE
Structure: optimized geometry

## Properties
The calculation puts the total DFT energy (no corrections) at -7.361 eV/atom.

Cell: 4.240 4.240 9.521 Å, 90.00 90.00 90.00°
Element x y z (fractional)
Ir: 0.500 0.000 0.889
Nd: 0.000 0.500 0.759
Pt: 0.500 0.500 0.500
Ir: 0.000 0.000 0.500
Nd: 0.500 0.000 0.241
P: 0.000 0.500 0.360
Ir: 0.000 0.500 0.111
P: 0.500 0.500 0.000
P: 0.500 0.000 0.640
P: 0.000 0.000 0.000